Arrangement A

{
  "formula": "Ca7Ag2Pd2",
  "functional": "PBE",
  "state": "relaxed",
  "lattice": [[-2.072, 7.914, 4.854], [2.072, -7.914, 4.854], [2.072, 7.914, -4.854]],
  "species": ["Ca", "Ca", "Ca", "Ca", "Ca", "Ca", "Ca", "Ag", "Ag", "Pd", "Pd"],
  "frac_coords": [[0.000, 0.000, 0.000], [0.294, 0.413, 0.880], [0.305, 0.620, 0.685], [0.533, 0.413, 0.120], [0.607, 0.249, 0.358], [0.890, 0.249, 0.642], [0.934, 0.620, 0.315], [0.243, 0.743, 0.500], [0.672, 0.672, 0.000], [0.157, 0.918, 0.239], [0.679, 0.918, 0.761]],
  "spacegroup": "Imm2 (44)"
}

---

Arrangement B

{
  "formula": "Ca7Ag2Pd2",
  "functional": "PBE",
  "state": "relaxed",
  "lattice": [[4.210, -5.562, 0.000], [4.210, 5.562, 0.000], [0.000, 0.000, 7.214]],
  "species": ["Ca", "Ca", "Ca", "Ca", "Ca", "Ca", "Ca", "Ag", "Ag", "Pd", "Pd"],
  "frac_coords": [[0.000, 0.000, 0.000], [0.000, 0.500, 0.260], [0.000, 0.500, 0.740], [0.500, 0.000, 0.260], [0.500, 0.000, 0.740], [0.500, 0.500, 0.248], [0.500, 0.500, 0.752], [0.175, 0.175, 0.500], [0.825, 0.825, 0.500], [0.285, 0.715, 0.000], [0.715, 0.285, 0.000]],
  "spacegroup": "Cmmm (65)"
}

---

The structure with the greatest stability is arrangement A.

---

Arrangement A

{
  "formula": "CaAg3Pd",
  "functional": "PBE",
  "state": "relaxed",
  "lattice": [[5.192, 0.000, 0.000], [0.000, 5.192, 0.000], [0.000, 0.000, 5.192]],
  "species": ["Ca", "Ag", "Ag", "Ag", "Pd"],
  "frac_coords": [[0.000, 0.000, 0.000], [0.000, 0.000, 0.500], [0.000, 0.500, 0.000], [0.500, 0.000, 0.000], [0.500, 0.500, 0.500]],
  "spacegroup": "Pm-3m (221)"
}

---

Arrangement B

{
  "formula": "CaAg3Pd",
  "functional": "PBE",
  "state": "relaxed",
  "lattice": [[6.560, 0.000, 0.000], [0.000, 4.380, 0.000], [-0.240, 0.000, 6.768]],
  "species": ["Ca", "Ca", "Ag", "Ag", "Ag", "Ag", "Ag", "Ag", "Pd", "Pd"],
  "frac_coords": [[0.233, 0.250, 0.235], [0.767, 0.750, 0.765], [0.161, 0.750, 0.550], [0.331, 0.750, 0.942], [0.440, 0.250, 0.662], [0.560, 0.750, 0.338], [0.669, 0.250, 0.058], [0.839, 0.250, 0.450], [0.053, 0.250, 0.835], [0.947, 0.750, 0.165]],
  "spacegroup": "P2_1/m (11)"
}

---

Arrangement C

{
  "formula": "CaAg3Pd",
  "functional": "PBE",
  "state": "relaxed",
  "lattice": [[5.082, 0.000, 0.000], [0.000, 5.082, 0.000], [0.000, 0.000, 5.082]],
  "species": ["Ca", "Ag", "Ag", "Ag", "Pd"],
  "frac_coords": [[0.000, 0.000, 0.000], [0.000, 0.500, 0.500], [0.500, 0.000, 0.500], [0.500, 0.500, 0.000], [0.500, 0.500, 0.500]],
  "spacegroup": "Pm-3m (221)"
}

---

The structure with the greatest stability is arrangement B.

---

Arrangement A

{
  "formula": "CaTa2AgPd",
  "functional": "PBE",
  "state": "relaxed",
  "lattice": [[4.874, 0.000, 0.000], [0.000, 4.874, 0.000], [0.000, 0.000, 5.398]],
  "species": ["Ca", "Ta", "Ta", "Ag", "Pd"],
  "frac_coords": [[0.000, 0.000, 0.000], [0.000, 0.500, 0.500], [0.500, 0.000, 0.500], [0.500, 0.500, 0.000], [0.000, 0.000, 0.500]],
  "spacegroup": "P4/mmm (123)"
}

---

Arrangement B

{
  "formula": "CaTa2AgPd",
  "functional": "PBE",
  "state": "relaxed",
  "lattice": [[4.883, 0.000, 0.000], [0.000, 4.883, 0.000], [0.000, 0.000, 5.210]],
  "species": ["Ca", "Ta", "Ta", "Ag", "Pd"],
  "frac_coords": [[0.000, 0.000, 0.000], [0.000, 0.500, 0.500], [0.500, 0.000, 0.500], [0.500, 0.500, 0.000], [0.500, 0.500, 0.500]],
  "spacegroup": "P4/mmm (123)"
}

---

The structure with the greatest stability is arrangement B.

---

Arrangement A

{
  "formula": "CaPmAg",
  "functional": "PBE",
  "state": "relaxed",
  "lattice": [[0.000, 6.343, 6.941], [4.654, 0.000, 6.941], [4.654, 6.343, 0.000]],
  "species": ["Ca", "Ca", "Ca", "Ca", "Pm", "Pm", "Pm", "Pm", "Ag", "Ag", "Ag", "Ag"],
  "frac_coords": [[0.000, 0.000, 0.000], [0.000, 0.000, 0.500], [0.000, 0.500, 0.000], [0.500, 0.000, 0.000], [0.244, 0.244, 0.506], [0.494, 0.494, 0.756], [0.506, 0.506, 0.244], [0.756, 0.756, 0.494], [0.183, 0.567, 0.183], [0.433, 0.817, 0.433], [0.567, 0.183, 0.567], [0.817, 0.433, 0.817]],
  "spacegroup": "Fddd (70)"
}

---

Arrangement B

{
  "formula": "CaPmAg",
  "functional": "PBE",
  "state": "relaxed",
  "lattice": [[0.000, 3.644, 3.644], [3.644, 0.000, 3.644], [3.644, 3.644, 0.000]],
  "species": ["Ca", "Pm", "Ag"],
  "frac_coords": [[0.000, 0.000, 0.000], [0.500, 0.500, 0.500], [0.750, 0.750, 0.750]],
  "spacegroup": "F-43m (216)"
}

---

Arrangement C

{
  "formula": "CaPmAg",
  "functional": "PBE",
  "state": "relaxed",
  "lattice": [[5.244, 0.000, 0.000], [-2.622, 4.542, 0.000], [0.000, 0.000, 3.632]],
  "species": ["Ca", "Pm", "Ag"],
  "frac_coords": [[0.000, 0.000, 0.000], [0.333, 0.667, 0.443], [0.667, 0.333, 0.764]],
  "spacegroup": "P3m1 (156)"
}

---

Arrangement D

{
  "formula": "CaPmAg",
  "functional": "PBE",
  "state": "relaxed",
  "lattice": [[8.622, -1.839, 0.000], [8.622, 1.839, 0.000], [-0.008, 0.000, 5.508]],
  "species": ["Ca", "Ca", "Pm", "Pm", "Ag", "Ag"],
  "frac_coords": [[0.077, 0.077, 0.248], [0.923, 0.923, 0.752], [0.222, 0.222, 0.750], [0.778, 0.778, 0.250], [0.424, 0.424, 0.254], [0.576, 0.576, 0.746]],
  "spacegroup": "C2/m (12)"
}

---

The structure with the greatest stability is arrangement D.

---

Arrangement A

{
  "formula": "CaPmAg",
  "functional": "PBE",
  "state": "relaxed",
  "lattice": [[5.244, -5.058, 0.000], [5.244, 5.058, 0.000], [-5.234, 0.000, 7.364]],
  "species": ["Ca", "Ca", "Ca", "Ca", "Pm", "Pm", "Pm", "Pm", "Ag", "Ag", "Ag", "Ag"],
  "frac_coords": [[0.002, 0.752, 0.505], [0.248, 0.998, 0.995], [0.752, 0.002, 0.005], [0.998, 0.248, 0.495], [0.250, 0.500, 0.001], [0.500, 0.250, 0.501], [0.500, 0.750, 0.499], [0.750, 0.500, 0.999], [0.134, 0.384, 0.250], [0.384, 0.134, 0.750], [0.616, 0.866, 0.250], [0.866, 0.616, 0.750]],
  "spacegroup": "C2/c (15)"
}

---

Arrangement B

{
  "formula": "CaPmAg",
  "functional": "PBE",
  "state": "relaxed",
  "lattice": [[-1.851, 1.851, 6.593], [1.851, -1.851, 6.593], [1.851, 1.851, -6.593]],
  "species": ["Ca", "Pm", "Ag"],
  "frac_coords": [[0.000, 0.000, 0.000], [0.279, 0.279, 0.000], [0.643, 0.643, 0.000]],
  "spacegroup": "I4mm (107)"
}

---

The structure with the greatest stability is arrangement B.

---

Arrangement A

{
  "formula": "CaPm2Ag",
  "functional": "PBE",
  "state": "relaxed",
  "lattice": [[3.750, 0.000, 0.000], [0.000, 3.750, 0.000], [0.000, 0.000, 9.188]],
  "species": ["Ca", "Pm", "Pm", "Ag"],
  "frac_coords": [[0.000, 0.000, 0.000], [0.500, 0.500, 0.305], [0.500, 0.500, 0.695], [0.000, 0.000, 0.500]],
  "spacegroup": "P4/mmm (123)"
}

---

Arrangement B

{
  "formula": "CaPm2Ag",
  "functional": "PBE",
  "state": "relaxed",
  "lattice": [[5.348, 0.000, 0.000], [0.000, 5.348, 0.000], [0.000, 0.000, 4.197]],
  "species": ["Ca", "Pm", "Pm", "Ag"],
  "frac_coords": [[0.000, 0.000, 0.000], [0.000, 0.500, 0.500], [0.500, 0.000, 0.500], [0.500, 0.500, 0.000]],
  "spacegroup": "P4/mmm (123)"
}

---

The structure with the greatest stability is arrangement A.